Record 1
The following is a PBE calculation of a relaxed structure of Pm12Ni2Rh5, from the Alexandria database.

Results
* formation energy from the elements: -0.433 eV per atom

Cell: 16.495 7.363 8.990 Å, 90.00 105.24 90.00°
Space group C2/m (No. 12)
Inequivalent atoms, fractional coordinates:
Pm 0.001 0.000 0.240 [4 per cell]
Pm 0.010 0.500 0.305 [4 per cell]
Pm 0.154 0.258 0.070 [8 per cell]
Pm 0.170 0.236 0.595 [8 per cell]
Ni 0.000 0.200 0.500 [4 per cell]
Rh 0.000 0.500 0.000 [2 per cell]
Rh 0.185 0.000 0.333 [4 per cell]
Rh 0.194 0.000 0.857 [4 per cell]

---

Record 2
The following is a PBE calculation of a relaxed structure of ZrFeSe2, from the Alexandria database.

Results
* offset from the most stable computed form: 0.7094 eV/atom
* E_form (uncorrected): 32 meV/atom

Cell: 6.637 6.637 6.637 Å, 90.00 90.00 90.00°
Space group F-43m (No. 216)
Inequivalent atoms, fractional coordinates:
Zr 0.000 0.000 0.000 [4 per cell]
Fe 0.250 0.250 0.750 [4 per cell]
Se 0.000 0.000 0.500 [4 per cell]
Se 0.250 0.250 0.250 [4 per cell]

---

Record 3
The following is a PBE calculation of a relaxed structure of GeP, from the Alexandria database.

Results
* formation energy from the elements: 0.215 eV per atom

Cell: 9.182 9.182 4.846 Å, 90.00 90.00 90.00°
Space group P4/m (No. 83)
Inequivalent atoms, fractional coordinates:
Ge 0.106 0.639 0.000 [4 per cell]
Ge 0.138 0.321 0.500 [4 per cell]
P 0.120 0.700 0.500 [4 per cell]
P 0.163 0.383 0.000 [4 per cell]

---

Record 4
The following is a PBE calculation of a relaxed structure of CoNi2Pt2, from the Alexandria database.

Results
* formation energy from the elements: 0.182 eV per atom
* offset from the most stable computed form: 0.0232 eV/atom

Cell: 7.137 7.137 2.716 Å, 90.00 90.00 90.00°
Space group P4/mbm (No. 127)
Inequivalent atoms, fractional coordinates:
Co 0.000 0.000 0.000 [2 per cell]
Ni 0.120 0.380 0.000 [4 per cell]
Pt 0.177 0.677 0.500 [4 per cell]

---

Record 5
The following is a PBE calculation of a relaxed structure of UGe2BiO8, from the Alexandria database.

Results
* E_form (uncorrected): -1832 meV/atom

Cell: 5.6011 5.6011 6.9380 Å, 90.00 90.00 120.00°
Space group P-3m1 (No. 164)
Inequivalent atoms, fractional coordinates:
U 0.0000 0.0000 0.0000 [1 per cell]
Ge 0.3333 0.6667 0.6924 [2 per cell]
Bi 0.0000 0.0000 0.5000 [1 per cell]
O 0.1628 0.3257 0.7911 [6 per cell]
O 0.3333 0.6667 0.4465 [2 per cell]

---

Record 6
The following is a PBE calculation of a relaxed structure of Ac2Nd13, from the Alexandria database.

Results
* formation energy from the elements: 0.069 eV per atom
* offset from the most stable computed form: 0.0000 eV/atom

Cell: 6.904 9.298 9.349 Å, 66.93 82.26 82.44°
Space group P-1 (No. 2)
Inequivalent atoms, fractional coordinates:
Ac 0.097 0.271 0.434 [2 per cell]
Nd 0.000 0.500 0.000 [1 per cell]
Nd 0.103 0.929 0.774 [2 per cell]
Nd 0.198 0.705 0.194 [2 per cell]
Nd 0.300 0.132 0.971 [2 per cell]
Nd 0.318 0.457 0.642 [2 per cell]
Nd 0.401 0.902 0.396 [2 per cell]
Nd 0.491 0.665 0.840 [2 per cell]